No. 1
First-principles (PBE) data for a relaxed structure of YSiCl2, as listed in Alexandria via LeMat-Bulk.

```
data_YSiCl2
_chemical_formula_sum 'Y4 Si4 Cl8'
_symmetry_space_group_name_H-M 'F m -3 m'
_symmetry_Int_Tables_number 225
_symmetry_space_group_name_Hall '-F 4 2 3'
_cell_length_a 6.923
_cell_length_b 6.923
_cell_length_c 6.923
_cell_angle_alpha 90.00
_cell_angle_beta 90.00
_cell_angle_gamma 90.00
loop_
_atom_site_label
_atom_site_fract_x
_atom_site_fract_y
_atom_site_fract_z
Y1 0.000 0.000 0.000
Si1 0.000 0.000 0.500
Cl1 0.250 0.250 0.250
```

Properties
- Energy relative to the elements, uncorrected: -520 meV per atom
- Relative energy among the computed polymorphs: 526 meV per atom
- ρ: 3.76 g/cm3

No. 2
First-principles (PBE) data for a relaxed structure of Mg2InIr, as listed in Alexandria via LeMat-Bulk.

```
data_Mg2InIr
_chemical_formula_sum 'Mg2 In1 Ir1'
_symmetry_space_group_name_H-M 'P 4/m m m'
_symmetry_Int_Tables_number 123
_symmetry_space_group_name_Hall '-P 4 2'
_cell_length_a 4.202
_cell_length_b 4.202
_cell_length_c 4.067
_cell_angle_alpha 90.00
_cell_angle_beta 90.00
_cell_angle_gamma 90.00
loop_
_atom_site_label
_atom_site_fract_x
_atom_site_fract_y
_atom_site_fract_z
Mg1 0.000 0.500 0.000
In1 0.000 0.000 0.500
Ir1 0.500 0.500 0.500
```

Properties
- ρ: 8.22 g/cm3
- Calculated formation energy: -200 meV/atom

No. 3
First-principles (PBE) data for a relaxed structure of Zr2B2Rh, as listed in Alexandria via LeMat-Bulk.

```
data_Zr2B2Rh
_chemical_formula_sum 'Zr4 B4 Rh2'
_symmetry_space_group_name_H-M 'P 4/m b m'
_symmetry_Int_Tables_number 127
_symmetry_space_group_name_Hall '-P 4 2ab'
_cell_length_a 6.091
_cell_length_b 6.091
_cell_length_c 3.614
_cell_angle_alpha 90.00
_cell_angle_beta 90.00
_cell_angle_gamma 90.00
loop_
_atom_site_label
_atom_site_fract_x
_atom_site_fract_y
_atom_site_fract_z
Zr1 0.179 0.321 0.000
B1 0.108 0.608 0.500
Rh1 0.000 0.000 0.500
```

Properties
- ρ: 7.60 g/cm3
- Calculated formation energy: -790 meV/atom